No. 1
Material: Mg6Pd5Au
Method: DFT, PBE
State: optimized geometry

Cell: 7.132 7.132 6.451 Å, 90.00 90.00 143.08°
Sites, in units of the cell vectors:
Mg 0.000 0.000 0.245
Mg 0.000 0.000 0.755
Mg 0.331 0.669 0.248
Mg 0.331 0.669 0.752
Mg 0.669 0.331 0.248
Mg 0.669 0.331 0.752
Pd 0.166 0.834 0.000
Pd 0.167 0.833 0.500
Pd 0.500 0.500 0.000
Pd 0.833 0.167 0.500
Pd 0.834 0.166 0.000
Au 0.500 0.500 0.500

Computed properties:
Formation enthalpy at 0 K (eV/f.u.): -8.55
SG: Cmmm

No. 2
Material: Mg4Pd2Au
Method: DFT, PBE
State: optimized geometry

Cell: 6.952 6.952 6.952 Å, 109.46 109.46 109.49°
Sites, in units of the cell vectors:
Mg 0.120 0.528 0.749
Mg 0.121 0.029 0.751
Mg 0.278 0.370 0.249
Mg 0.472 0.221 0.592
Mg 0.629 0.880 0.408
Mg 0.630 0.879 0.908
Mg 0.779 0.371 0.251
Mg 0.971 0.722 0.092
Pd 0.000 0.125 0.375
Pd 0.375 0.000 0.125
Pd 0.750 0.625 0.625
Pd 0.875 0.250 0.875
Au 0.250 0.750 0.500
Au 0.500 0.500 0.000

Computed properties:
ΔE to the lowest computed polymorph (kJ/mol of formula units): 41
Formation enthalpy at 0 K (eV/f.u.): -3.59
SG: I-42d

No. 3
Material: Mg2PdAu8
Method: DFT, PBE
State: optimized geometry

Cell: 7.528 7.528 5.250 Å, 109.28 109.28 116.47°
Sites, in units of the cell vectors:
Mg 0.193 0.807 0.000
Mg 0.807 0.193 0.000
Pd 0.500 0.500 0.500
Au 0.097 0.097 0.327
Au 0.175 0.405 0.904
Au 0.280 0.720 0.500
Au 0.405 0.175 0.904
Au 0.595 0.825 0.096
Au 0.720 0.280 0.500
Au 0.825 0.595 0.096
Au 0.903 0.903 0.673

Computed properties:
ΔE to the lowest computed polymorph (kJ/mol of formula units): 135
Formation enthalpy at 0 K (eV/f.u.): -2.27
SG: C2/m

No. 4
Material: Mg3Pd6Au
Method: DFT, PBE
State: optimized geometry

Cell: 8.852 8.852 4.895 Å, 90.00 90.00 118.47°
Sites, in units of the cell vectors:
Mg 0.103 0.897 0.500
Mg 0.233 0.432 0.845
Mg 0.432 0.233 0.345
Mg 0.568 0.767 0.845
Mg 0.767 0.568 0.345
Mg 0.897 0.103 0.000
Pd 0.048 0.460 0.246
Pd 0.117 0.208 0.432
Pd 0.199 0.801 0.052
Pd 0.208 0.117 0.932
Pd 0.447 0.553 0.323
Pd 0.460 0.048 0.746
Pd 0.540 0.952 0.246
Pd 0.553 0.447 0.823
Pd 0.792 0.883 0.432
Pd 0.801 0.199 0.552
Pd 0.883 0.792 0.932
Pd 0.952 0.540 0.746
Au 0.284 0.716 0.555
Au 0.716 0.284 0.055

Computed properties:
Formation enthalpy at 0 K (eV/f.u.): -3.97
SG: Cmc2_1

What is the formula in the third record?
Mg2PdAu8

Which of these has the lowest formation enthalpy at 0 K?
Mg6Pd5Au